Entry 1
Density functional theory data (GGA-PBE) for TaOsSe3 after structural relaxation.

a b c (Å): 4.794 4.794 4.794
angles (deg): 90.00 90.00 90.00
Element x y z (fractional)
Os: 0.000 0.000 0.000
Se: 0.000 0.500 0.000
Se: 0.000 0.000 0.500
Se: 0.500 0.000 0.000
Ta: 0.500 0.500 0.500

space-group type = Pm-3m, No. 221

Entry 2
Density functional theory data (GGA-PBE) for TaOsSe3 after structural relaxation.

a b c (Å): 5.004 5.004 5.004
angles (deg): 90.00 90.00 90.00
Site moments in Bohr magnetons follow the coordinates.
Element x y z (fractional)
Os: 0.500 0.500 0.500  3.26
Se: 0.000 0.500 0.000  0.11
Se: 0.000 0.000 0.500  0.14
Se: 0.500 0.000 0.000  0.07
Ta: 0.000 0.000 0.000  0.13

space-group type = Pm-3m, No. 221

Stability summary: most stable entry 2, least stable entry 1.

Entry 1
Density functional theory data (GGA-PBE) for TaOs3Se after structural relaxation.

a b c (Å): 4.498 4.498 4.498
angles (deg): 90.00 90.00 90.00
Element x y z (fractional)
Os: 0.000 0.500 0.000
Os: 0.000 0.000 0.500
Os: 0.500 0.000 0.000
Se: 0.000 0.000 0.000
Ta: 0.500 0.500 0.500

space-group type = Pm-3m, No. 221

Entry 2
Density functional theory data (GGA-PBE) for TaOs3Se after structural relaxation.

a b c (Å): 4.808 4.808 4.808
angles (deg): 90.00 90.00 90.00
Site moments in Bohr magnetons follow the coordinates.
Element x y z (fractional)
Os: 0.000 0.500 0.000  1.20
Os: 0.000 0.000 0.500  1.10
Os: 0.500 0.000 0.000  1.00
Se: 0.500 0.500 0.500  0.08
Ta: 0.000 0.000 0.000  -0.17

space-group type = Pm-3m, No. 221

Stability summary: most stable entry 1, least stable entry 2.

Entry 1
Density functional theory data (GGA-PBE) for TcOsSe2 after structural relaxation.

a b c (Å): 4.905 4.905 4.905
angles (deg): 131.96 131.96 70.29
Element x y z (fractional)
Os: 0.750 0.250 0.500
Se: 0.000 0.000 0.000
Se: 0.250 0.750 0.500
Tc: 0.500 0.500 0.000

space-group type = I-4m2, No. 119

Entry 2
Density functional theory data (GGA-PBE) for TcOsSe2 after structural relaxation.

a b c (Å): 5.070 5.070 6.365
angles (deg): 84.36 84.36 35.39
Element x y z (fractional)
Os: 0.192 0.192 0.380
Se: 0.034 0.034 0.100
Se: 0.798 0.798 0.626
Tc: 0.476 0.476 0.393

space-group type = Cm, No. 8

Entry 3
Density functional theory data (GGA-PBE) for TcOsSe2 after structural relaxation.

a b c (Å): 5.483 5.483 5.483
angles (deg): 147.89 132.49 58.50
Element x y z (fractional)
Os: 0.234 0.734 0.500
Se: 0.015 0.015 0.000
Se: 0.736 0.236 0.500
Tc: 0.516 0.516 0.000

space-group type = Imm2, No. 44

Entry 4
Density functional theory data (GGA-PBE) for TcOsSe2 after structural relaxation.

a b c (Å): 4.254 2.606 6.667
angles (deg): 113.45 90.00 90.00
Element x y z (fractional)
Os: 0.500 0.750 0.750
Se: 0.000 0.002 0.000
Se: 0.000 0.498 0.500
Tc: 0.500 0.250 0.250

space-group type = P2/m, No. 10

Stability summary: most stable entry 2, least stable entry 1.